Entry 1:
This record from Alexandria via LeMat-Bulk describes an optimized crystal structure of Cd3NiPd. The functional is PBE.

The calculated formation energy comes out at 0.37 eV/atom. The total magnetization is 0.00 μB per atom. The excess energy over the best structure of this formula in the dataset is 0.000 eV/atom. Its space group is Pm-3m (221). The value obtained for the total energy is -2.374 eV per atom. The calculation puts the volume at 113.4 Å³ per cell.

a = 4.8407 Å, b = 4.8407 Å, c = 4.8407 Å
α = 90.00°, β = 90.00°, γ = 90.00°
Closest atoms and distances in Å follow each position.
Sites, in units of the cell vectors:
Cd: 0.5000 0.0000 0.0000  2 Ni 2.42
Cd: 0.0000 0.0000 0.5000  2 Ni 2.42
Cd: 0.0000 0.5000 0.0000  2 Ni 2.42
Ni: 0.0000 0.0000 0.0000  6 Cd 2.42
Pd: 0.5000 0.5000 0.5000  12 Cd 3.42

***

Entry 2:
This record from Alexandria via LeMat-Bulk describes an optimized crystal structure of Ba6SbTe2Br3. The functional is PBE.

The total magnetization is 0.00 μB per atom. Its space group is C2/m (12). The value obtained for the uncorrected formation energy is -1650 meV per atom. The value obtained for the total energy is -3.896 eV per atom. The calculation puts the volume at 497.8 Å³ per cell.

a = 8.5765 Å, b = 8.5765 Å, c = 8.3172 Å
α = 99.91°, β = 99.91°, γ = 119.94°
Closest atoms and distances in Å follow each position.
Sites, in units of the cell vectors:
Ba: 0.2468 0.2468 0.7568  1 Sb 3.39, 2 Te 3.45, 3 Br 3.48-3.53
Ba: 0.0807 0.4088 0.2422  1 Sb 3.39, 2 Te 3.45, 3 Br 3.48-3.52
Ba: 0.9193 0.5912 0.7578  1 Sb 3.39, 2 Te 3.45, 3 Br 3.48-3.52
Ba: 0.5912 0.9193 0.7578  1 Sb 3.39, 2 Te 3.45, 3 Br 3.48-3.52
Ba: 0.4088 0.0807 0.2422  1 Sb 3.39, 2 Te 3.45, 3 Br 3.48-3.52
Ba: 0.7532 0.7532 0.2432  1 Sb 3.39, 2 Te 3.45, 3 Br 3.48-3.53
Br: 0.8324 0.1676 0.5000  6 Ba 3.48-3.52
Br: 0.1676 0.8324 0.5000  6 Ba 3.48-3.52
Br: 0.5000 0.5000 0.5000  6 Ba 3.48-3.53
Te: 0.3336 0.6664 0.0000  6 Ba 3.45
Te: 0.6664 0.3336 0.0000  6 Ba 3.45
Sb: 0.0000 0.0000 0.0000  6 Ba 3.39

***

Entry 3:
This record from Alexandria via LeMat-Bulk describes an optimized crystal structure of Ce2InAs2N2. The functional is PBE.

The total magnetization is 0.01 μB per atom. Its space group is C2/m (12). The value obtained for the uncorrected formation energy is -889 meV per atom. The value obtained for the total energy is -6.683 eV per atom. The calculation puts the volume at 139.8 Å³ per cell.

a = 3.9803 Å, b = 6.2111 Å, c = 6.8681 Å
α = 61.82°, β = 73.16°, γ = 71.31°
Closest atoms and distances in Å follow each position.
Sites, in units of the cell vectors:
Ce: 0.8009 0.6450 0.7533  3 N 2.27-2.28
Ce: 0.1991 0.3550 0.2467  3 N 2.27-2.28
N: 0.7922 0.3169 0.0986  1 In 2.22, 3 Ce 2.27-2.28
N: 0.2078 0.6831 0.9014  1 In 2.22, 3 Ce 2.27-2.28
In: 0.0000 0.0000 0.0000  2 N 2.22
As: 0.5387 0.2614 0.6611  1 As 2.72, 2 In 2.90
As: 0.4613 0.7386 0.3389  1 As 2.72, 2 In 2.90

***

Entry 4:
This record from Alexandria via LeMat-Bulk describes an optimized crystal structure of NiPb3N. The functional is PBE.

The total magnetization is 0.00 μB per atom. The excess energy over the best structure of this formula in the dataset is 0.194 eV/atom. Its space group is Pm-3m (221). The value obtained for the uncorrected formation energy is 1048 meV per atom. The value obtained for the total energy is -3.999 eV per atom. The calculation puts the volume at 125.3 Å³ per cell.

a = 5.0038 Å, b = 5.0038 Å, c = 5.0038 Å
α = 90.00°, β = 90.00°, γ = 90.00°
Closest atoms and distances in Å follow each position.
Sites, in units of the cell vectors:
Ni: 0.0000 0.0000 0.0000  6 Pb 2.50
Pb: 0.5000 0.0000 0.0000  2 Ni 2.50
Pb: 0.0000 0.5000 0.0000  2 Ni 2.50
Pb: 0.0000 0.0000 0.5000  2 Ni 2.50
N: 0.5000 0.5000 0.5000  12 Pb 3.54

***

Entry 5:
This record from Alexandria via LeMat-Bulk describes an optimized crystal structure of PmZrAlIr2. The functional is PBE.

The calculated formation energy comes out at -0.82 eV/atom. The total magnetization is 0.00 μB per atom. Its space group is I-4m2 (119). The value obtained for the total energy is -7.777 eV per atom. The calculation puts the volume at 102.9 Å³ per cell.

a = 4.1743 Å, b = 4.1743 Å, c = 6.6004 Å
α = 108.43°, β = 108.43°, γ = 90.00°
Closest atoms and distances in Å follow each position.
Sites, in units of the cell vectors:
Zr: 0.2500 0.7500 0.5000  4 Ir 2.65, 4 Al 2.95
Al: 0.7500 0.2500 0.5000  4 Ir 2.65, 4 Zr 2.95
Ir: 0.3888 0.3888 0.7776  1 Ir 2.63, 2 Zr 2.65, 2 Al 2.65
Ir: 0.6112 0.6112 0.2224  1 Ir 2.63, 2 Al 2.65, 2 Zr 2.65
Pm: 0.0000 0.0000 0.0000  8 Ir 3.23, 4 Al 3.62, 4 Zr 3.62

***

Entry 6:
This record from Alexandria via LeMat-Bulk describes an optimized crystal structure of SiTc2P. The functional is PBE.

The total magnetization is 0.00 μB per atom. The excess energy over the best structure of this formula in the dataset is 0.479 eV/atom. Its space group is Pmmm (47). The value obtained for the uncorrected formation energy is -23 meV per atom. The value obtained for the total energy is -7.914 eV per atom. The calculation puts the volume at 56.0 Å³ per cell.

a = 2.9983 Å, b = 4.9137 Å, c = 3.8011 Å
α = 90.00°, β = 90.00°, γ = 90.00°
Closest atoms and distances in Å follow each position.
Sites, in units of the cell vectors:
Si: 0.0000 0.5000 0.5000  4 Tc 2.42
Tc: 0.0000 0.0000 0.0000  4 P 2.42
Tc: 0.5000 0.5000 0.0000  4 Si 2.42
P: 0.5000 0.0000 0.5000  4 Tc 2.42

***

Entry 7:
This record from Alexandria via LeMat-Bulk describes an optimized crystal structure of Ni4RuPb. The functional is PBE.

The calculated formation energy comes out at 0.28 eV/atom. The total magnetization is 0.54 μB per atom. Its space group is F-43m (216). The value obtained for the total energy is -5.734 eV per atom. The calculation puts the volume at 80.6 Å³ per cell.

a = 4.8485 Å, b = 4.8485 Å, c = 4.8485 Å
α = 60.00°, β = 60.00°, γ = 60.00°
Closest atoms and distances in Å follow each position.
Sites, in units of the cell vectors:
Pb: 0.7500 0.7500 0.7500  12 Ni 2.84, 4 Ru 2.97
Ni: 0.8780 0.3740 0.3740  6 Ni 2.41-2.44
Ni: 0.3740 0.8780 0.3740  6 Ni 2.41-2.44
Ni: 0.3740 0.3740 0.3740  6 Ni 2.41-2.44
Ni: 0.3740 0.3740 0.8780  6 Ni 2.41-2.44
Ru: 0.0000 0.0000 0.0000  12 Ni 2.84, 4 Pb 2.97

***

Entry 8:
This record from Alexandria via LeMat-Bulk describes an optimized crystal structure of BaIn2Se. The functional is PBE.

The total magnetization is 0.00 μB per atom. Its space group is Immm (71). The value obtained for the uncorrected formation energy is -701 meV per atom. The value obtained for the total energy is -3.422 eV per atom. The calculation puts the volume at 129.9 Å³ per cell.

a = 7.0909 Å, b = 7.0909 Å, c = 4.7539 Å
α = 70.36°, β = 70.36°, γ = 35.52°
Closest atoms and distances in Å follow each position.
Sites, in units of the cell vectors:
Se: 0.2500 0.2500 0.2500  4 Ba 3.21
In: 0.5158 0.5158 0.4843  4 In 3.24
In: 0.9842 0.9842 0.0157  4 In 3.24
Ba: 0.7500 0.7500 0.7500  4 Se 3.21

***

Entry 9:
This record from Alexandria via LeMat-Bulk describes an optimized crystal structure of HoFe2B4. The functional is PBE.

The calculated formation energy comes out at -0.34 eV/atom. The total magnetization is 0.36 μB per atom. Its space group is Immm (71). The value obtained for the total energy is -7.230 eV per atom. The calculation puts the volume at 68.7 Å³ per cell.

a = 3.0611 Å, b = 3.2677 Å, c = 7.2261 Å
α = 103.07°, β = 102.23°, γ = 90.00°
Closest atoms and distances in Å follow each position.
Sites, in units of the cell vectors:
Fe: 0.1923 0.1923 0.3847  7 B 2.06-2.29
Fe: 0.8077 0.8077 0.6153  7 B 2.06-2.29
B: 0.1012 0.6012 0.2024  2 B 1.71
B: 0.3430 0.3430 0.6859  2 B 1.71
B: 0.8988 0.3988 0.7976  2 B 1.71
B: 0.6570 0.6570 0.3141  2 B 1.71
Ho: 0.5000 0.0000 0.0000  12 B 2.64-2.71

***

Entry 10:
This record from Alexandria via LeMat-Bulk describes an optimized crystal structure of KSbW2. The functional is PBE.

The total magnetization is 0.00 μB per atom. Its space group is Pm (6). The value obtained for the uncorrected formation energy is 670 meV per atom. The value obtained for the total energy is -7.112 eV per atom. The calculation puts the volume at 99.2 Å³ per cell.

a = 4.0481 Å, b = 2.9075 Å, c = 8.7962 Å
α = 73.40°, β = 90.00°, γ = 90.00°
Closest atoms and distances in Å follow each position.
Sites, in units of the cell vectors:
Sb: 0.5000 0.6691 0.8163  5 W 2.90-3.19, 2 Sb 2.91
W: 0.0000 0.0969 0.0212  2 W 2.55
W: 0.5000 0.3012 0.1662  2 W 2.55
K: 0.0000 0.4328 0.4963  2 K 2.91

***

Entry 11:
This record from Alexandria via LeMat-Bulk describes an optimized crystal structure of Nd2AlCo3Ge4. The functional is PBE.

The calculated formation energy comes out at -0.55 eV/atom. The total magnetization is 0.03 μB per atom. Its space group is P-4m2 (115). The value obtained for the total energy is -5.858 eV per atom. The calculation puts the volume at 172.4 Å³ per cell.

a = 4.1217 Å, b = 4.1217 Å, c = 10.1466 Å
α = 90.00°, β = 90.00°, γ = 90.00°
Closest atoms and distances in Å follow each position.
Sites, in units of the cell vectors:
Ge: 0.0000 0.5000 0.3509  3 Co 2.36-2.56, 2 Al 2.56
Ge: 0.5000 0.5000 0.0000  4 Co 2.38
Ge: 0.0000 0.0000 0.0000  4 Co 2.38
Ge: 0.5000 0.0000 0.6491  3 Co 2.36-2.56, 2 Al 2.56
Al: 0.5000 0.5000 0.5000  4 Ge 2.56
Co: 0.0000 0.5000 0.1182  5 Ge 2.36-2.38
Co: 0.5000 0.0000 0.8818  5 Ge 2.36-2.38
Co: 0.0000 0.0000 0.5000  4 Ge 2.56
Nd: 0.5000 0.0000 0.2370  8 Ge 3.14-3.17, 6 Co 3.15-3.37, 2 Al 3.37
Nd: 0.0000 0.5000 0.7630  8 Ge 3.14-3.17, 6 Co 3.15-3.37, 2 Al 3.37

***

Entry 12:
This record from Alexandria via LeMat-Bulk describes an optimized crystal structure of Nd2Si3GePd4. The functional is PBE.

The total magnetization is 0.00 μB per atom. Its space group is P-4m2 (115). The value obtained for the uncorrected formation energy is -875 meV per atom. The value obtained for the total energy is -5.995 eV per atom. The calculation puts the volume at 183.7 Å³ per cell.

a = 4.2895 Å, b = 4.2895 Å, c = 9.9827 Å
α = 90.00°, β = 90.00°, γ = 90.00°
Closest atoms and distances in Å follow each position.
Sites, in units of the cell vectors:
Si: 0.0000 0.0000 0.5000  4 Pd 2.51
Si: 0.5000 0.0000 0.8731  5 Pd 2.43-2.49
Si: 0.0000 0.5000 0.1269  5 Pd 2.43-2.49
Nd: 0.5000 0.0000 0.2523  8 Pd 3.25-3.31, 2 Ge 3.27, 6 Si 3.27-3.28
Nd: 0.0000 0.5000 0.7477  8 Pd 3.25-3.31, 6 Si 3.27-3.28, 2 Ge 3.27
Pd: 0.5000 0.5000 0.0000  4 Si 2.49
Pd: 0.0000 0.5000 0.3703  3 Si 2.43-2.51, 2 Ge 2.51
Pd: 0.5000 0.0000 0.6297  3 Si 2.43-2.51, 2 Ge 2.51
Pd: 0.0000 0.0000 0.0000  4 Si 2.49
Ge: 0.5000 0.5000 0.5000  4 Pd 2.51

***

> Which of these has the highest volume?

Ba6SbTe2Br3

***

> The lowest volume belongs to which entry?

SiTc2P